Density functional theory data (PBE+U) for a relaxed LiFe2F9 crystal.

```
LiFe2F9
1.0
5.3451 0.0000 0.0000
-0.6777 8.3449 0.0000
-2.0171 -2.9323 8.2532
Li Fe F
2 4 18
Direct
0.1487 0.2785 0.2345
0.8513 0.7215 0.7655
0.2303 0.1149 0.8108
0.2507 0.4223 0.6874
0.7493 0.5777 0.3126
0.7697 0.8851 0.1892
0.0004 0.2572 0.7088
0.9996 0.7428 0.2912
0.0362 0.0379 0.1995
0.1230 0.3409 0.4667
0.1354 0.6007 0.8151
0.2235 0.2439 0.0082
0.2631 0.9952 0.6190
0.4577 0.4529 0.3179
0.4744 0.2987 0.8073
0.4860 0.9990 0.1075
0.5140 0.0010 0.8925
0.5256 0.7013 0.1927
0.5423 0.5471 0.6821
0.7369 0.0048 0.3810
0.7765 0.7561 0.9918
0.8646 0.3993 0.1849
0.8770 0.6591 0.5333
0.9638 0.9621 0.8005
```

Results
Its crystal system is triclinic. Its polymorph energy (0 for the lowest one) is 0.050 eV/atom. As for the density of states at the Fermi level: 3.22 states/eV/f.u.